Record 1
# Er4TmSc4 | Alexandria via LeMat-Bulk | GGA-PBE | relaxed
data_Er4TmSc4
_chemical_formula_sum 'Er8 Tm2 Sc8'
_cell_length_a 10.187
_cell_length_b 10.187
_cell_length_c 4.803
_cell_angle_alpha 90.00
_cell_angle_beta 90.00
_cell_angle_gamma 90.00
_symmetry_space_group_name_H-M 'I 4/m m m'
_symmetry_Int_Tables_number 139
_symmetry_space_group_name_Hall '-I 4 2'
loop_
_atom_site_label
_atom_site_type_symbol
_atom_site_fract_x
_atom_site_fract_y
_atom_site_fract_z
Er1 Er 0.168 0.168 0.000
Tm1 Tm 0.000 0.000 0.500
Sc1 Sc 0.000 0.340 0.500
# - E (eV/f.u.) = -47.6
# - formation enthalpy at 0 K (meV/atom) = 51
# - spin magnetization (μB per cell) = 0.00

Record 2
# Er5Tm5Sc2 | Alexandria via LeMat-Bulk | GGA-PBE | relaxed
data_Er5Tm5Sc2
_chemical_formula_sum 'Er10 Tm10 Sc4'
_cell_length_a 11.653
_cell_length_b 5.445
_cell_length_c 11.663
_cell_angle_alpha 90.00
_cell_angle_beta 108.01
_cell_angle_gamma 90.00
_symmetry_space_group_name_H-M 'C 1 2/m 1'
_symmetry_Int_Tables_number 12
loop_
_symmetry_equiv_pos_as_xyz
'x,y,z'
'-x,-y,-z'
'-x,y,-z'
'x,-y,z'
'x+1/2,y+1/2,z'
'-x+1/2,-y+1/2,-z'
'-x+1/2,y+1/2,-z'
'x+1/2,-y+1/2,z'
loop_
_atom_site_label
_atom_site_type_symbol
_atom_site_fract_x
_atom_site_fract_y
_atom_site_fract_z
Er1 Er 0.000 0.000 0.000
Er2 Er 0.034 0.000 0.716
Er3 Er 0.205 0.000 0.548
Tm1 Tm 0.000 0.500 0.500
Tm2 Tm 0.201 0.500 0.046
Tm3 Tm 0.248 0.500 0.751
Sc1 Sc 0.037 0.500 0.212
# - E (eV/f.u.) = -57.0
# - formation enthalpy at 0 K (meV/atom) = 73
# - spin magnetization (μB per cell) = 0.01

Record 3
# Er2Tm6Sc3 | Alexandria via LeMat-Bulk | GGA-PBE | relaxed
data_Er2Tm6Sc3
_chemical_formula_sum 'Er6 Tm18 Sc9'
_cell_length_a 3.4393
_cell_length_b 3.4393
_cell_length_c 93.4734
_cell_angle_alpha 90.00
_cell_angle_beta 90.00
_cell_angle_gamma 120.00
_symmetry_space_group_name_H-M 'R -3 m'
_symmetry_Int_Tables_number 166
_symmetry_space_group_name_Hall '-R 3 2"'
loop_
_atom_site_label
_atom_site_type_symbol
_atom_site_fract_x
_atom_site_fract_y
_atom_site_fract_z
Er1 Er 0.0000 0.0000 0.1037
Tm1 Tm 0.0000 0.0000 0.3179
Tm2 Tm 0.0000 0.0000 0.4065
Tm3 Tm 0.0000 0.0000 0.4666
Sc1 Sc 0.0000 0.0000 0.0444
Sc2 Sc 0.0000 0.0000 0.5000
# - E (eV/f.u.) = -53.7
# - formation enthalpy at 0 K (meV/atom) = 111
# - spin magnetization (μB per cell) = 6.23

Record 4
# Er4Tm5Sc4 | Alexandria via LeMat-Bulk | GGA-PBE | relaxed
data_Er4Tm5Sc4
_chemical_formula_sum 'Er8 Tm10 Sc8'
_cell_length_a 12.341
_cell_length_b 12.341
_cell_length_c 4.846
_cell_angle_alpha 90.00
_cell_angle_beta 90.00
_cell_angle_gamma 90.00
_symmetry_space_group_name_H-M 'I 4/m'
_symmetry_Int_Tables_number 87
_symmetry_space_group_name_Hall '-I 4'
loop_
_atom_site_label
_atom_site_type_symbol
_atom_site_fract_x
_atom_site_fract_y
_atom_site_fract_z
Er1 Er 0.079 0.618 0.000
Tm1 Tm 0.000 0.000 0.000
Tm2 Tm 0.041 0.808 0.500
Sc1 Sc 0.155 0.232 0.000
# - E (eV/f.u.) = -65.3
# - formation enthalpy at 0 K (meV/atom) = 45
# - spin magnetization (μB per cell) = 0.00

Record 5
# Er2Tm2Sc3 | Alexandria via LeMat-Bulk | GGA-PBE | relaxed
data_Er2Tm2Sc3
_chemical_formula_sum 'Er4 Tm4 Sc6'
_cell_length_a 14.794
_cell_length_b 3.400
_cell_length_c 8.294
_cell_angle_alpha 90.00
_cell_angle_beta 111.75
_cell_angle_gamma 90.00
_symmetry_space_group_name_H-M 'C 1 2/m 1'
_symmetry_Int_Tables_number 12
loop_
_symmetry_equiv_pos_as_xyz
'x,y,z'
'-x,-y,-z'
'-x,y,-z'
'x,-y,z'
'x+1/2,y+1/2,z'
'-x+1/2,-y+1/2,-z'
'-x+1/2,y+1/2,-z'
'x+1/2,-y+1/2,z'
loop_
_atom_site_label
_atom_site_type_symbol
_atom_site_fract_x
_atom_site_fract_y
_atom_site_fract_z
Er1 Er 0.143 0.000 0.423
Tm1 Tm 0.075 0.500 0.722
Sc1 Sc 0.000 0.000 0.000
Sc2 Sc 0.212 0.500 0.137
# - E (eV/f.u.) = -36.7
# - formation enthalpy at 0 K (meV/atom) = 53
# - spin magnetization (μB per cell) = 0.00

Record 6
# Er4Tm8Sc | Alexandria via LeMat-Bulk | GGA-PBE | relaxed
data_Er4Tm8Sc
_chemical_formula_sum 'Er8 Tm16 Sc2'
_cell_length_a 12.738
_cell_length_b 7.342
_cell_length_c 9.439
_cell_angle_alpha 90.00
_cell_angle_beta 116.77
_cell_angle_gamma 90.00
_symmetry_space_group_name_H-M 'C 1 2/m 1'
_symmetry_Int_Tables_number 12
loop_
_symmetry_equiv_pos_as_xyz
'x,y,z'
'-x,-y,-z'
'-x,y,-z'
'x,-y,z'
'x+1/2,y+1/2,z'
'-x+1/2,-y+1/2,-z'
'-x+1/2,y+1/2,-z'
'x+1/2,-y+1/2,z'
loop_
_atom_site_label
_atom_site_type_symbol
_atom_site_fract_x
_atom_site_fract_y
_atom_site_fract_z
Er1 Er 0.000 0.000 0.000
Er2 Er 0.000 0.500 0.000
Er3 Er 0.250 0.250 0.000
Tm1 Tm 0.036 0.219 0.326
Tm2 Tm 0.221 0.000 0.665
Tm3 Tm 0.246 0.500 0.674
Sc1 Sc 0.000 0.500 0.500
# - E (eV/f.u.) = -57.7
# - formation enthalpy at 0 K (meV/atom) = 206
# - spin magnetization (μB per cell) = 0.00

Record 7
# ErTm6Sc4 | Alexandria via LeMat-Bulk | GGA-PBE | relaxed
data_ErTm6Sc4
_chemical_formula_sum 'Er2 Tm12 Sc8'
_cell_length_a 6.288
_cell_length_b 6.288
_cell_length_c 16.428
_cell_angle_alpha 90.00
_cell_angle_beta 90.00
_cell_angle_gamma 90.00
_symmetry_space_group_name_H-M 'I -4 2 m'
_symmetry_Int_Tables_number 121
_symmetry_space_group_name_Hall 'I -4 2'
loop_
_atom_site_label
_atom_site_type_symbol
_atom_site_fract_x
_atom_site_fract_y
_atom_site_fract_z
Er1 Er 0.000 0.000 0.000
Tm1 Tm 0.000 0.500 0.000
Tm2 Tm 0.188 0.188 0.177
Sc1 Sc 0.175 0.175 0.372
# - E (eV/f.u.) = -53.2
# - formation enthalpy at 0 K (meV/atom) = 318
# - spin magnetization (μB per cell) = 0.00

Record 8
# Er2Tm8Sc | Alexandria via LeMat-Bulk | GGA-PBE | relaxed
data_Er2Tm8Sc
_chemical_formula_sum 'Er4 Tm16 Sc2'
_cell_length_a 17.056
_cell_length_b 5.334
_cell_length_c 8.223
_cell_angle_alpha 90.00
_cell_angle_beta 117.79
_cell_angle_gamma 90.00
_symmetry_space_group_name_H-M 'C 1 2/m 1'
_symmetry_Int_Tables_number 12
loop_
_symmetry_equiv_pos_as_xyz
'x,y,z'
'-x,-y,-z'
'-x,y,-z'
'x,-y,z'
'x+1/2,y+1/2,z'
'-x+1/2,-y+1/2,-z'
'-x+1/2,y+1/2,-z'
'x+1/2,-y+1/2,z'
loop_
_atom_site_label
_atom_site_type_symbol
_atom_site_fract_x
_atom_site_fract_y
_atom_site_fract_z
Er1 Er 0.203 0.000 0.159
Tm1 Tm 0.016 0.000 0.221
Tm2 Tm 0.117 0.500 0.933
Tm3 Tm 0.156 0.000 0.691
Tm4 Tm 0.161 0.500 0.387
Sc1 Sc 0.000 0.500 0.500
# - E (eV/f.u.) = -50.0
# - formation enthalpy at 0 K (meV/atom) = 110
# - spin magnetization (μB per cell) = 0.00